! Tl2Hg5As, relaxed, DFT PBE; values from VASP
! Density of states at the Fermi level = 0.209 states/eV/atom
! Size of the total moment = 0.0 μB per formula unit
! Space-group type = P1 (1)
! ΔE_f = 52 meV/atom
&SYSTEM
  ibrav = 0, nat = 8, ntyp = 3
/
ATOMIC_SPECIES
Tl 204.38 Tl.upf
Hg 200.59 Hg.upf
As 74.92 As.upf
CELL_PARAMETERS angstrom
6.554 0.000 0.000
-2.825 6.077 0.000
-1.219 -3.333 5.825
ATOMIC_POSITIONS angstrom
Tl 0.000 0.000 0.000
Tl 0.511 -0.374 4.325
Hg -2.488 0.020 5.419
Hg -1.052 2.272 2.499
Hg 2.238 -2.937 5.390
Hg 1.900 1.552 2.199
Hg 3.561 -0.888 2.472
As 3.143 3.952 2.135